1.
The following is a DFT calculation (PBE) of a relaxed BaNaAu4 crystal.

Computed properties:
- space group = F-43m (216)

Unit cell a=5.8353 b=5.8353 c=5.8353 alpha=60.00 beta=60.00 gamma=60.00
With the nearest neighbours (Å) after each atom.
Fractional positions:
Ba 0.0000 0.0000 0.0000  12 Au 3.42, 4 Na 3.57
Na 0.2500 0.2500 0.2500  12 Au 3.42, 4 Ba 3.57
Au 0.1281 0.6240 0.6240  6 Au 2.89-2.94
Au 0.6240 0.1281 0.6240  6 Au 2.89-2.94
Au 0.6240 0.6240 0.1281  6 Au 2.89-2.94
Au 0.6240 0.6240 0.6240  6 Au 2.89-2.94

2.
The following is a DFT calculation (PBE) of a relaxed Zn5Pt crystal.

Computed properties:
- space group = P6/mmm (191)

Unit cell a=4.9061 b=4.9061 c=4.3501 alpha=90.00 beta=90.00 gamma=120.00
With the nearest neighbours (Å) after each atom.
Fractional positions:
Zn 0.0000 0.5000 0.0000  8 Zn 2.45-2.60
Zn 0.3333 0.6667 0.5000  9 Zn 2.60-2.83, 3 Pt 2.83
Zn 0.5000 0.0000 0.0000  8 Zn 2.45-2.60
Zn 0.5000 0.5000 0.0000  8 Zn 2.45-2.60
Zn 0.6667 0.3333 0.5000  9 Zn 2.60-2.83, 3 Pt 2.83
Pt 0.0000 0.0000 0.5000  6 Zn 2.83

| no. | energy relative to the elements (eV/atom) | V (Å³ per atom) | E_tot (eV per atom) |
| --- | --- | --- | --- |
| 1 | -0.444 | 23.4 | -3.169 |
| 2 | -0.017 | 15.1 | -2.085 |